Record 1
## NiPOs2 (PBE)

Data for a relaxed NiPOs2 crystal.

Lattice parameters (Å, degrees): 4.147 4.147 4.147 60.00 60.00 60.00
Fractional coordinates of all 4 atoms:
Ni 0.000 0.000 0.000
P 0.500 0.500 0.500
Os 0.250 0.250 0.250
Os 0.750 0.750 0.750

Results
**Symmetry**: Fm-3m (225)
**Calculated formation energy**: 0.134 eV per atom
**Offset from the most stable computed form**: 0.508 eV/f.u.
**V**: 12.61 Å³/atom

Record 2
## NiP4Os (PBE)

Data for a relaxed NiP4Os crystal.

Lattice parameters (Å, degrees): 4.851 4.851 4.851 60.00 60.00 60.00
Fractional coordinates of all 6 atoms:
Ni 0.000 0.000 0.000
P 0.374 0.374 0.374
P 0.374 0.374 0.878
P 0.374 0.878 0.374
P 0.878 0.374 0.374
Os 0.750 0.750 0.750

Results
**Symmetry**: F-43m (216)
**Calculated formation energy**: 0.936 eV per atom
**V**: 13.45 Å³/atom

Record 3
## NiP2Os (PBE)

Data for a relaxed NiP2Os crystal.

Lattice parameters (Å, degrees): 2.933 3.784 4.771 90.00 90.00 90.00
Fractional coordinates of all 4 atoms:
Ni 0.000 0.000 0.000
P 0.000 0.500 0.500
P 0.500 0.500 0.000
Os 0.500 0.000 0.500

Results
**Symmetry**: Pmmm (47)
**Calculated formation energy**: 0.360 eV per atom
**Offset from the most stable computed form**: 2.498 eV/f.u.
**V**: 13.24 Å³/atom

Record 4
## NiP2Os (PBE)

Data for a relaxed NiP2Os crystal.

Lattice parameters (Å, degrees): 2.863 2.863 7.725 90.00 90.00 121.72
Fractional coordinates of all 4 atoms:
Ni 0.000 0.000 0.000
P 0.500 0.500 0.243
P 0.500 0.500 0.757
Os 0.000 0.000 0.500

Results
**Symmetry**: Cmmm (65)
**Calculated formation energy**: 0.338 eV per atom
**Offset from the most stable computed form**: 2.410 eV/f.u.
**V**: 13.47 Å³/atom

Record 5
## NiP2Os (PBE)

Data for a relaxed NiP2Os crystal.

Lattice parameters (Å, degrees): 4.002 4.002 4.731 98.01 98.01 43.34
Fractional coordinates of all 4 atoms:
Ni 0.000 0.000 0.000
P 0.236 0.236 0.748
P 0.764 0.764 0.252
Os 0.500 0.500 0.500

Results
**Symmetry**: C2/m (12)
**Calculated formation energy**: -0.047 eV per atom
**Offset from the most stable computed form**: 0.869 eV/f.u.
**V**: 12.85 Å³/atom

Record 6
## NiP2Os (PBE)

Data for a relaxed NiP2Os crystal.

Lattice parameters (Å, degrees): 7.193 7.193 7.193 23.31 23.31 23.31
Fractional coordinates of all 4 atoms:
Ni 0.000 0.000 0.000
P 0.253 0.253 0.253
P 0.747 0.747 0.747
Os 0.500 0.500 0.500

Results
**Symmetry**: R-3m (166)
**Calculated formation energy**: -0.092 eV per atom
**Offset from the most stable computed form**: 0.688 eV/f.u.
**V**: 12.79 Å³/atom

Which of these has the highest V?
number 4

The lowest calculated formation energy belongs to which entry?
number 6

Which value of calculated formation energy does entry 1 give?
0.134 eV per atom